[1]
Rb3Dy3CrSe8 | PBE-GGA | relaxed

Cell: 9.494 9.494 9.494 Å, 50.74 50.74 50.74°
Fractional positions:
Rb (0.000, 0.500, 0.500)
Rb (0.500, 0.000, 0.500)
Rb (0.500, 0.500, 0.000)
Dy (0.000, 0.000, 0.500)
Dy (0.000, 0.500, 0.000)
Dy (0.500, 0.000, 0.000)
Cr (0.500, 0.500, 0.500)
Se (0.233, 0.233, 0.233)
Se (0.255, 0.714, 0.714)
Se (0.286, 0.286, 0.745)
Se (0.286, 0.745, 0.286)
Se (0.714, 0.255, 0.714)
Se (0.714, 0.714, 0.255)
Se (0.745, 0.286, 0.286)
Se (0.767, 0.767, 0.767)

Uncorrected formation energy: -21.2 eV per formula unit
M_tot: 2.32 Bohr magnetons per cell
Mass density: 5.0 g/cm³
V: 31.53 Å³/atom

***

[2]
DyCrRe | PBE-GGA | relaxed

Cell: 6.336 5.390 4.969 Å, 75.29 55.37 49.34°
Fractional positions:
Dy (0.168, 0.832, 0.168)
Dy (0.832, 0.168, 0.832)
Cr (0.250, 0.250, 0.250)
Cr (0.750, 0.750, 0.750)
Re (0.336, 0.336, 0.664)
Re (0.664, 0.664, 0.336)

Formation enthalpy at 0 K: 0.378 eV per atom
M_tot: 1.07 Bohr magnetons per cell
Mass density: 12.8 g/cm³
V: 17.34 Å³/atom